Arrangement 1

A plane-wave DFT calculation with PBE-GGA was carried out for a geometry-optimized YBeCoSi2 structure.

Structure (POSCAR):
```
YBeCoSi2
1.0
3.8489 0.0000 0.0000
0.0000 3.8489 0.0000
-1.9245 -1.9245 4.9250
Y Be Co Si
1 1 1 2
direct
0.0000 0.0000 0.0000 Y
0.2500 0.7500 0.5000 Be
0.7500 0.2500 0.5000 Co
0.6243 0.6243 0.2487 Si
0.3757 0.3757 0.7513 Si
```

V = 73.0 Å³/cell
DOS(E_F) = 3.8 states/eV/cell

***

Arrangement 2

A plane-wave DFT calculation with PBE-GGA was carried out for a geometry-optimized YBeCoSi2 structure.

Structure (POSCAR):
```
YBeCoSi2
1.0
-3.1289 -0.5040 -3.0077
-1.9823 -2.6527 2.5067
-2.2251 3.3239 1.7579
Y Be Si Co
1 1 2 1
direct
0.5000 0.5000 0.5000 Y
0.0000 0.5000 0.0000 Be
0.0000 0.0000 0.5000 Si
0.5000 0.0000 0.0000 Si
0.0000 0.0000 0.0000 Co
```

V = 79.3 Å³/cell
DOS(E_F) = 2.4 states/eV/cell

***

The structure with the most favorable energy is arrangement 1; the runner-up is 0.455 eV/atom above it.

***

Arrangement 1

A plane-wave DFT calculation with PBE-GGA was carried out for a geometry-optimized SmBeCo structure.

Structure (POSCAR):
```
SmBeCo
1.0
-2.6351 -0.3193 2.9896
-2.7951 -0.6914 -2.5374
2.0208 -2.9128 1.4700
Be Co Sm
1 1 1
direct
0.1665 0.0000 0.0000 Be
0.1668 0.6667 0.3333 Co
0.6667 0.3333 0.6667 Sm
```

V = 51.0 Å³/cell
DOS(E_F) = 1.7 states/eV/cell

***

Arrangement 2

A plane-wave DFT calculation with PBE-GGA was carried out for a geometry-optimized SmBeCo structure.

Structure (POSCAR):
```
SmBeCo
1.0
3.9974 0.0000 0.0000
0.0000 3.9974 0.0000
0.0000 0.0000 6.5764
Sm Be Co
2 2 2
direct
0.7500 0.7500 0.3064 Sm
0.2500 0.2500 0.6936 Sm
0.2500 0.2500 0.1419 Be
0.7500 0.7500 0.8581 Be
0.2500 0.7500 0.0000 Co
0.7500 0.2500 0.0000 Co
```

V = 105.1 Å³/cell
DOS(E_F) = 4.5 states/eV/cell

***

Arrangement 3

A plane-wave DFT calculation with PBE-GGA was carried out for a geometry-optimized SmBeCo structure.

Structure (POSCAR):
```
SmBeCo
1.0
3.6940 -0.7152 -0.0144
0.7152 3.6940 -0.0144
0.0320 0.0216 7.1400
Sm Co Be
2 2 2
direct
0.7500 0.7500 0.3169 Sm
0.2500 0.2500 0.6831 Sm
0.7500 0.7500 0.8268 Co
0.2500 0.2500 0.1732 Co
0.7500 0.2500 0.0000 Be
0.2500 0.7500 0.0000 Be
```

V = 101.1 Å³/cell
DOS(E_F) = 3.8 states/eV/cell

***

The structure with the most favorable energy is arrangement 2; the runner-up is 0.050 eV/atom above it.

***

Arrangement 1

A plane-wave DFT calculation with PBE-GGA was carried out for a geometry-optimized Be3CoSn structure.

Structure (POSCAR):
```
Be3CoSn
1.0
-2.1909 0.2358 -3.9284
-1.2357 -4.3100 0.4304
-3.7365 1.2870 2.1611
Be Co Sn
3 1 1
direct
0.0000 0.5000 0.0000 Be
0.0000 0.0000 0.5000 Be
0.5000 0.0000 0.0000 Be
0.5000 0.5000 0.5000 Co
0.0000 0.0000 0.0000 Sn
```

V = 91.4 Å³/cell
DOS(E_F) = 3.9 states/eV/cell

***

Arrangement 2

A plane-wave DFT calculation with PBE-GGA was carried out for a geometry-optimized Be3CoSn structure.

Structure (POSCAR):
```
Be3CoSn
1.0
-3.1215 -0.6151 2.5377
1.3660 -3.7554 0.7700
2.2253 1.4424 3.0869
Be Co Sn
3 1 1
direct
0.0000 0.5000 0.0000 Be
0.0000 0.0000 0.5000 Be
0.5000 0.0000 0.0000 Be
0.0000 0.0000 0.0000 Co
0.5000 0.5000 0.5000 Sn
```

V = 67.4 Å³/cell
DOS(E_F) = 1.7 states/eV/cell

***

The structure with the most favorable energy is arrangement 2; the runner-up is 1.174 eV/atom above it.

***

Arrangement 1

A plane-wave DFT calculation with PBE-GGA was carried out for a geometry-optimized TaBe2Co3 structure.

Structure (POSCAR):
```
TaBe2Co3
1.0
3.7621 0.0000 0.0000
-1.8811 3.2581 0.0000
0.0000 0.0000 10.6468
Ta Be Co
2 4 6
direct
0.0000 0.0000 0.2500 Ta
0.0000 0.0000 0.7500 Ta
0.6667 0.3333 0.4204 Be
0.3333 0.6667 0.5796 Be
0.3333 0.6667 0.9204 Be
0.6667 0.3333 0.0796 Be
0.0000 0.0000 0.5000 Co
0.0000 0.0000 0.0000 Co
0.6667 0.3333 0.6307 Co
0.3333 0.6667 0.1307 Co
0.6667 0.3333 0.8693 Co
0.3333 0.6667 0.3693 Co
```

V = 130.5 Å³/cell
DOS(E_F) = 10.8 states/eV/cell

***

Arrangement 2

A plane-wave DFT calculation with PBE-GGA was carried out for a geometry-optimized TaBe2Co3 structure.

Structure (POSCAR):
```
TaBe2Co3
1.0
3.9469 0.0000 0.0000
-1.9734 3.4181 0.0000
0.0000 0.0000 9.6423
Ta Be Co
2 4 6
direct
0.3333 0.6667 0.6776 Ta
0.6667 0.3333 0.3224 Ta
0.0000 0.0000 0.5000 Be
0.3333 0.6667 0.1590 Be
0.6667 0.3333 0.8410 Be
0.0000 0.0000 0.0000 Be
0.3333 0.6667 0.4171 Co
0.6667 0.3333 0.0719 Co
0.0000 0.0000 0.7698 Co
0.0000 0.0000 0.2302 Co
0.3333 0.6667 0.9281 Co
0.6667 0.3333 0.5829 Co
```

V = 130.1 Å³/cell
DOS(E_F) = 3.7 states/eV/cell

***

The structure with the most favorable energy is arrangement 2; the runner-up is 0.031 eV/atom above it.

***

Arrangement 1

A plane-wave DFT calculation with PBE-GGA was carried out for a geometry-optimized TaBe2Co structure.

Structure (POSCAR):
```
TaBe2Co
1.0
7.9917 0.0690 0.0407
7.5213 2.7022 0.0407
7.5213 1.3436 2.3449
Be Co Ta
2 1 1
direct
0.9874 0.9874 0.9874 Be
0.5126 0.5126 0.5126 Be
0.2500 0.2500 0.2500 Co
0.7500 0.7500 0.7500 Ta
```

V = 48.6 Å³/cell
DOS(E_F) = 3.0 states/eV/cell

***

Arrangement 2

A plane-wave DFT calculation with PBE-GGA was carried out for a geometry-optimized TaBe2Co structure.

Structure (POSCAR):
```
TaBe2Co
1.0
0.0000 2.7962 2.7962
2.7962 0.0000 2.7962
2.7962 2.7962 0.0000
Be Co Ta
2 1 1
direct
0.2500 0.2500 0.2500 Be
0.7500 0.7500 0.7500 Be
0.0000 0.0000 0.0000 Co
0.5000 0.5000 0.5000 Ta
```

V = 43.7 Å³/cell
DOS(E_F) = 4.6 states/eV/cell

***

The structure with the most favorable energy is arrangement 2; the runner-up is 0.318 eV/atom above it.

***

Arrangement 1

A plane-wave DFT calculation with PBE-GGA was carried out for a geometry-optimized TaBe2Co2 structure.

Structure (POSCAR):
```
TaBe2Co2
1.0
-5.6331 1.5642 2.7431
2.6250 -0.7986 5.8459
0.7184 2.5437 0.0249
Be Co Ta
4 4 2
direct
0.1503 0.6503 0.5000 Be
0.6503 0.8497 0.5000 Be
0.8497 0.3497 0.5000 Be
0.3497 0.1503 0.5000 Be
0.3584 0.8584 0.0000 Co
0.8584 0.6416 0.0000 Co
0.6416 0.1416 0.0000 Co
0.1416 0.3584 0.0000 Co
0.0000 0.0000 0.0000 Ta
0.5000 0.5000 0.0000 Ta
```

V = 110.2 Å³/cell
DOS(E_F) = 7.3 states/eV/cell

***

Arrangement 2

A plane-wave DFT calculation with PBE-GGA was carried out for a geometry-optimized TaBe2Co2 structure.

Structure (POSCAR):
```
TaBe2Co2
1.0
3.6180 0.0000 0.0000
0.0000 3.6180 0.0000
1.8090 1.8090 4.1271
Be Co Ta
2 2 1
direct
0.3787 0.3787 0.2425 Be
0.6213 0.6213 0.7575 Be
0.7500 0.2500 0.5000 Co
0.2500 0.7500 0.5000 Co
0.0000 0.0000 0.0000 Ta
```

V = 54.0 Å³/cell
DOS(E_F) = 3.7 states/eV/cell

***

The structure with the most favorable energy is arrangement 2; the runner-up is 0.076 eV/atom above it.

***

Arrangement 1

A plane-wave DFT calculation with PBE-GGA was carried out for a geometry-optimized Tb2BeCo2 structure.

Structure (POSCAR):
```
Tb2BeCo2
1.0
-4.1265 -2.7629 2.2079
-3.1113 -3.3620 -2.9246
3.0051 -6.2011 1.3182
Tb Be Co
4 2 4
direct
0.4840 0.2187 0.1498 Tb
0.7813 0.5160 0.3502 Tb
0.5160 0.7813 0.8502 Tb
0.2187 0.4840 0.6498 Tb
0.1056 0.8944 0.2500 Be
0.8944 0.1056 0.7500 Be
0.7471 0.0010 0.5085 Co
0.9990 0.2529 0.9915 Co
0.2529 0.9990 0.4915 Co
0.0010 0.7471 0.0085 Co
```

V = 171.0 Å³/cell
DOS(E_F) = 6.8 states/eV/cell

***

Arrangement 2

A plane-wave DFT calculation with PBE-GGA was carried out for a geometry-optimized Tb2BeCo2 structure.

Structure (POSCAR):
```
Tb2BeCo2
1.0
3.4228 0.0033 1.4558
1.1026 4.7608 2.1483
-0.2395 0.4576 5.3131
Tb Be Co
2 1 2
direct
0.3055 0.1945 0.6945 Tb
0.6945 0.8055 0.3055 Tb
0.5000 0.5000 0.0000 Be
0.0000 0.2653 0.2347 Co
0.0000 0.7347 0.7653 Co
```

V = 85.6 Å³/cell
DOS(E_F) = 4.0 states/eV/cell

***

The structure with the most favorable energy is arrangement 2; the runner-up is 0.020 eV/atom above it.

***

Arrangement 1

A plane-wave DFT calculation with PBE-GGA was carried out for a geometry-optimized BeCo2Tc2 structure.

Structure (POSCAR):
```
BeCo2Tc2
1.0
6.9923 0.0000 0.0000
0.0000 6.9923 0.0000
0.0000 0.0000 2.6045
Be Co Tc
2 4 4
direct
0.0000 0.0000 0.0000 Be
0.5000 0.5000 0.0000 Be
0.3817 0.8817 0.0000 Co
0.8817 0.6183 0.0000 Co
0.6183 0.1183 0.0000 Co
0.1183 0.3817 0.0000 Co
0.1785 0.6785 0.5000 Tc
0.6785 0.8215 0.5000 Tc
0.8215 0.3215 0.5000 Tc
0.3215 0.1785 0.5000 Tc
```

V = 127.3 Å³/cell
DOS(E_F) = 12.0 states/eV/cell

***

Arrangement 2

A plane-wave DFT calculation with PBE-GGA was carried out for a geometry-optimized BeCo2Tc2 structure.

Structure (POSCAR):
```
BeCo2Tc2
1.0
-1.5557 1.5557 6.5770
1.5557 -1.5557 6.5770
1.5557 1.5557 -6.5770
Be Co Tc
1 2 2
direct
0.0000 0.0000 0.0000 Be
0.2500 0.7500 0.5000 Co
0.7500 0.2500 0.5000 Co
0.5939 0.5939 0.0000 Tc
0.4061 0.4061 0.0000 Tc
```

V = 63.7 Å³/cell
DOS(E_F) = 5.6 states/eV/cell

***

The structure with the most favorable energy is arrangement 1; the runner-up is 0.155 eV/atom above it.

***

Arrangement 1

A plane-wave DFT calculation with PBE-GGA was carried out for a geometry-optimized Be2CoTc structure.

Structure (POSCAR):
```
Be2CoTc
1.0
-3.9257 3.9002 2.0388
-4.4006 -3.5116 -1.7558
-4.1412 -0.9250 2.3250
Be Co Tc
4 2 2
direct
0.6024 0.1250 0.2500 Be
0.1476 0.6250 0.2500 Be
0.3750 0.3976 0.7500 Be
0.8750 0.8524 0.7500 Be
0.5000 0.5000 0.0000 Co
0.2500 0.7500 0.5000 Co
0.0000 0.0000 0.0000 Tc
0.7500 0.2500 0.5000 Tc
```

V = 85.3 Å³/cell
DOS(E_F) = 5.7 states/eV/cell

***

Arrangement 2

A plane-wave DFT calculation with PBE-GGA was carried out for a geometry-optimized Be2CoTc structure.

Structure (POSCAR):
```
Be2CoTc
1.0
7.6247 0.0068 0.0040
7.1807 2.5639 0.0040
7.1807 1.2468 2.2403
Be Co Tc
2 1 1
direct
0.9938 0.9938 0.9938 Be
0.5062 0.5062 0.5062 Be
0.2500 0.2500 0.2500 Co
0.7500 0.7500 0.7500 Tc
```

V = 43.6 Å³/cell
DOS(E_F) = 3.2 states/eV/cell

***

Arrangement 3

A plane-wave DFT calculation with PBE-GGA was carried out for a geometry-optimized Be2CoTc structure.

Structure (POSCAR):
```
Be2CoTc
1.0
3.6240 0.0000 0.0000
0.0000 2.5977 -0.0006
0.0000 1.3001 4.3286
Be Co Tc
2 1 1
direct
0.0000 0.1868 0.0015 Be
0.5000 0.0556 0.2636 Be
0.0000 0.4647 0.4453 Co
0.5000 0.7929 0.7895 Tc
```

V = 40.8 Å³/cell
DOS(E_F) = 3.2 states/eV/cell

***

The structure with the most favorable energy is arrangement 3; the runner-up is 0.200 eV/atom above it.

***

Arrangement 1

A plane-wave DFT calculation with PBE-GGA was carried out for a geometry-optimized Be2CoTc structure.

Structure (POSCAR):
```
Be2CoTc
1.0
4.5969 -0.0058 0.0004
3.8106 2.5712 0.0004
1.5992 0.4880 3.4557
Be Co Tc
2 1 1
direct
0.0171 0.0171 0.9834 Be
0.7434 0.7434 0.7562 Be
0.4866 0.4866 0.5137 Co
0.2529 0.2529 0.2467 Tc
```

V = 40.9 Å³/cell
DOS(E_F) = 3.3 states/eV/cell

***

Arrangement 2

A plane-wave DFT calculation with PBE-GGA was carried out for a geometry-optimized Be2CoTc structure.

Structure (POSCAR):
```
Be2CoTc
1.0
-2.4910 -0.6595 0.6132
0.7797 -2.4820 0.4977
0.9775 1.4067 5.4840
Be Co Tc
2 1 1
direct
0.0000 0.0000 0.0422 Be
0.5000 0.5000 0.2414 Be
0.0000 0.0000 0.4576 Co
0.5000 0.5000 0.7588 Tc
```

V = 40.3 Å³/cell
DOS(E_F) = 2.4 states/eV/cell

***

Arrangement 3

A plane-wave DFT calculation with PBE-GGA was carried out for a geometry-optimized Be2CoTc structure.

Structure (POSCAR):
```
Be2CoTc
1.0
2.6574 0.0000 0.0000
0.0000 2.6578 0.0000
0.0000 0.0000 5.6508
Be Co Tc
2 1 1
direct
0.0000 0.0000 0.0423 Be
0.0000 0.0000 0.4577 Be
0.5000 0.5000 0.2500 Co
0.5000 0.5000 0.7500 Tc
```

V = 39.9 Å³/cell
DOS(E_F) = 2.3 states/eV/cell

***

Arrangement 4

A plane-wave DFT calculation with PBE-GGA was carried out for a geometry-optimized Be2CoTc structure.

Structure (POSCAR):
```
Be2CoTc
1.0
4.3715 0.0213 0.0000
1.7639 3.9999 0.0000
-3.0677 -2.0106 2.3785
Be Co Tc
2 1 1
direct
0.0000 0.0000 0.0000 Be
0.2500 0.7500 0.5000 Be
0.5000 0.5000 0.0000 Co
0.7500 0.2500 0.5000 Tc
```

V = 41.5 Å³/cell
DOS(E_F) = 3.6 states/eV/cell

***

The structure with the most favorable energy is arrangement 3; the runner-up is 0.014 eV/atom above it.

***

Arrangement 1

A plane-wave DFT calculation with PBE-GGA was carried out for a geometry-optimized Be2CoTc structure.

Structure (POSCAR):
```
Be2CoTc
1.0
-0.2137 -3.3630 1.8895
-3.1000 -0.8091 2.1589
-2.5033 -2.7076 -1.1525
Be Co Tc
2 1 1
direct
0.2500 0.2500 0.2500 Be
0.7500 0.7500 0.7500 Be
0.0000 0.0000 0.0000 Co
0.5000 0.5000 0.5000 Tc
```

V = 40.8 Å³/cell
DOS(E_F) = 3.2 states/eV/cell

***

Arrangement 2

A plane-wave DFT calculation with PBE-GGA was carried out for a geometry-optimized Be2CoTc structure.

Structure (POSCAR):
```
Be2CoTc
1.0
-2.4028 1.9530 -3.1602
-2.5940 -1.5124 3.2493
-0.5227 2.1194 1.1303
Be Co Tc
2 1 1
direct
0.0000 0.0000 0.0000 Be
0.5000 0.5000 0.0000 Be
0.5000 0.0000 0.5000 Co
0.0000 0.5000 0.5000 Tc
```

V = 42.9 Å³/cell
DOS(E_F) = 3.1 states/eV/cell

***

The structure with the most favorable energy is arrangement 1; the runner-up is 0.078 eV/atom above it.

***

Arrangement 1

A plane-wave DFT calculation with PBE-GGA was carried out for a geometry-optimized BeCoTc3 structure.

Structure (POSCAR):
```
BeCoTc3
1.0
-1.7451 -0.5044 -3.9672
0.2486 -4.3338 0.4416
-3.9914 -0.0494 1.7620
Be Co Tc
1 1 3
direct
0.5000 0.5000 0.5000 Be
0.0000 0.0000 0.0000 Co
0.0000 0.5000 0.0000 Tc
0.0000 0.0000 0.5000 Tc
0.5000 0.0000 0.0000 Tc
```

V = 83.1 Å³/cell
DOS(E_F) = 7.9 states/eV/cell

***

Arrangement 2

A plane-wave DFT calculation with PBE-GGA was carried out for a geometry-optimized BeCoTc3 structure.

Structure (POSCAR):
```
BeCoTc3
1.0
4.0614 0.0000 0.0000
0.0000 4.0614 0.0000
0.0000 0.0000 4.0614
Be Co Tc
1 1 3
direct
0.0000 0.0000 0.0000 Be
0.5000 0.5000 0.5000 Co
0.0000 0.5000 0.0000 Tc
0.0000 0.0000 0.5000 Tc
0.5000 0.0000 0.0000 Tc
```

V = 67.0 Å³/cell
DOS(E_F) = 5.4 states/eV/cell

***

The structure with the most favorable energy is arrangement 2; the runner-up is 0.787 eV/atom above it.